Material: CaCd8Pd4
Method: DFT, PBE
State: relaxed

Geometry as POSCAR:
```
CaCd8Pd4
1.0
-4.794 4.794 2.886
4.794 -4.794 2.886
4.794 4.794 -2.886
Ca Cd Pd
1 8 4
direct
0.000 0.000 0.000
0.000 0.336 0.336
0.000 0.664 0.664
0.280 0.500 0.780
0.336 0.000 0.336
0.500 0.280 0.780
0.500 0.720 0.220
0.664 0.000 0.664
0.720 0.500 0.220
0.000 0.000 0.500
0.000 0.500 0.000
0.500 0.000 0.000
0.500 0.500 0.500
```

Output
* SG: I4/mmm, No. 139
* mass density: 8.5 g/cm3
* formation energy: -0.3727 eV per atom